No. 1
A plane-wave DFT calculation with PBE-GGA was carried out for a relaxed LuCoReSb crystal.

The value obtained for the uncorrected energy is -6.527 eV/atom. The calculation puts the total magnetization at 3.30 μB per formula unit. The value obtained for the volume is 17.9 Å³/atom. Its space-group type is No. 216.

Lattice parameters (Å, degrees): 6.597 6.597 6.597 90.00 90.00 90.00
Fractional positions:
Lu: 0.000 0.000 0.000
Lu: 0.000 0.500 0.500
Lu: 0.500 0.000 0.500
Lu: 0.500 0.500 0.000
Co: 0.000 0.000 0.500
Co: 0.000 0.500 0.000
Co: 0.500 0.000 0.000
Co: 0.500 0.500 0.500
Re: 0.250 0.250 0.750
Re: 0.250 0.750 0.250
Re: 0.750 0.250 0.250
Re: 0.750 0.750 0.750
Sb: 0.250 0.250 0.250
Sb: 0.250 0.750 0.750
Sb: 0.750 0.250 0.750
Sb: 0.750 0.750 0.250



No. 2
A plane-wave DFT calculation with PBE-GGA was carried out for a relaxed RbFeOs crystal.

The value obtained for the uncorrected energy is -4.626 eV/atom. The calculation puts the total magnetization at 4.36 μB per formula unit. The value obtained for the volume is 20.8 Å³/atom. Its space-group type is No. 216.

Lattice parameters (Å, degrees): 6.298 6.298 6.298 90.00 90.00 90.00
Fractional positions:
Rb: 0.000 0.000 0.000
Rb: 0.000 0.500 0.500
Rb: 0.500 0.000 0.500
Rb: 0.500 0.500 0.000
Fe: 0.000 0.000 0.500
Fe: 0.000 0.500 0.000
Fe: 0.500 0.000 0.000
Fe: 0.500 0.500 0.500
Os: 0.250 0.250 0.750
Os: 0.250 0.750 0.250
Os: 0.750 0.250 0.250
Os: 0.750 0.750 0.750



No. 3
A plane-wave DFT calculation with PBE-GGA was carried out for a relaxed Hf2TlB crystal.

The value obtained for the uncorrected energy is -7.615 eV/atom. The calculation puts the total magnetization at 0.00 μB per formula unit. The value obtained for the volume is 19.3 Å³/atom. Its space-group type is No. 194.

Lattice parameters (Å, degrees): 3.429 3.429 15.190 90.00 90.00 120.00
Fractional positions:
Hf: 0.333 0.667 0.083
Hf: 0.333 0.667 0.417
Hf: 0.667 0.333 0.583
Hf: 0.667 0.333 0.917
Tl: 0.333 0.667 0.750
Tl: 0.667 0.333 0.250
B: 0.000 0.000 0.000
B: 0.000 0.000 0.500



No. 4
A plane-wave DFT calculation with PBE-GGA was carried out for a relaxed DyHo2AlCd3Ga2 crystal.

The value obtained for the uncorrected energy is -3.401 eV/atom. The calculation puts the total magnetization at 0.01 μB per formula unit. The value obtained for the volume is 22.3 Å³/atom. Its space-group type is No. 38.

Lattice parameters (Å, degrees): 4.415 7.245 7.245 120.06 90.00 90.00
Fractional positions:
Dy: 0.000 0.000 0.000
Ho: 0.000 0.134 0.567
Ho: 0.000 0.567 0.134
Al: 0.000 0.566 0.566
Cd: 0.500 0.321 0.321
Cd: 0.500 0.567 0.813
Cd: 0.500 0.813 0.567
Ga: 0.500 0.234 0.900
Ga: 0.500 0.900 0.234